First-principles (GGA-PBEsol) data for a geometry-optimized Al2CrAs2 structure, as listed in the Alexandria database.

CIF file:
```
data_Al2CrAs2
_chemical_formula_sum 'Al2 Cr1 As2'
_space_group_name_H-M_alt 'P 1'
_space_group_IT_number 1
_space_group_name_Hall 'P 1'
_cell_length_a 6.979
_cell_length_b 6.979
_cell_length_c 6.979
_cell_angle_alpha 148.62
_cell_angle_beta 148.62
_cell_angle_gamma 44.97
loop_
_atom_site_label
_atom_site_type_symbol
_atom_site_fract_x
_atom_site_fract_y
_atom_site_fract_z
Al1 Al 0.250 0.750 0.500
Al2 Al 0.750 0.250 0.500
Cr1 Cr 0.000 0.000 0.000
As1 As 0.393 0.393 0.000
As2 As 0.607 0.607 0.000
```

Output
* ΔH_f (0 K): 348 meV/atom
* crystal system: tetragonal

---

First-principles (GGA-PBEsol) data for a geometry-optimized Y2SiPt structure, as listed in the Alexandria database.

CIF file:
```
data_Y2SiPt
_chemical_formula_sum 'Y2 Si1 Pt1'
_space_group_name_H-M_alt 'P 1'
_space_group_IT_number 1
_space_group_name_Hall 'P 1'
_cell_length_a 4.128
_cell_length_b 5.654
_cell_length_c 5.654
_cell_angle_alpha 40.79
_cell_angle_beta 90.00
_cell_angle_gamma 90.00
loop_
_atom_site_label
_atom_site_type_symbol
_atom_site_fract_x
_atom_site_fract_y
_atom_site_fract_z
Y1 Y 0.000 0.000 0.000
Y2 Y 0.500 0.283 0.283
Si1 Si 0.500 0.567 0.567
Pt1 Pt 0.000 0.718 0.718
```

Output
* crystal system: orthorhombic
* final energy: -0.562 Ry/atom

---

First-principles (GGA-PBEsol) data for a geometry-optimized Li2CuAsO4 structure, as listed in the Alexandria database.

CIF file:
```
data_Li2CuAsO4
_chemical_formula_sum 'Li4 Cu2 As2 O8'
_space_group_name_H-M_alt 'P 1'
_space_group_IT_number 1
_space_group_name_Hall 'P 1'
_cell_length_a 5.830
_cell_length_b 5.037
_cell_length_c 6.339
_cell_angle_alpha 90.00
_cell_angle_beta 91.48
_cell_angle_gamma 90.00
loop_
_atom_site_label
_atom_site_type_symbol
_atom_site_fract_x
_atom_site_fract_y
_atom_site_fract_z
Li1 Li 0.053 0.000 0.323
Li2 Li 0.198 0.495 0.035
Li3 Li 0.802 0.995 0.965
Li4 Li 0.947 0.500 0.677
Cu1 Cu 0.371 0.599 0.498
Cu2 Cu 0.629 0.099 0.502
As1 As 0.264 0.010 0.792
As2 As 0.736 0.510 0.208
O1 O 0.101 0.159 0.599
O2 O 0.149 0.100 0.026
O3 O 0.253 0.666 0.763
O4 O 0.450 0.600 0.219
O5 O 0.550 0.100 0.781
O6 O 0.747 0.166 0.237
O7 O 0.851 0.600 0.974
O8 O 0.899 0.659 0.401
```

Output
* crystal system: monoclinic
* final energy: -0.422 Ry/atom

---

First-principles (GGA-PBEsol) data for a geometry-optimized BaScAs2 structure, as listed in the Alexandria database.

CIF file:
```
data_BaScAs2
_chemical_formula_sum 'Ba1 Sc1 As2'
_space_group_name_H-M_alt 'P 1'
_space_group_IT_number 1
_space_group_name_Hall 'P 1'
_cell_length_a 5.151
_cell_length_b 5.161
_cell_length_c 4.479
_cell_angle_alpha 90.00
_cell_angle_beta 90.00
_cell_angle_gamma 90.00
loop_
_atom_site_label
_atom_site_type_symbol
_atom_site_fract_x
_atom_site_fract_y
_atom_site_fract_z
Ba1 Ba 0.000 0.000 0.000
Sc1 Sc 0.500 0.500 0.542
As1 As 0.000 0.500 0.484
As2 As 0.500 0.000 0.487
```

Output
* ΔH_f (0 K): -834 meV/atom
* crystal system: orthorhombic
* ΔE to the lowest computed polymorph: 0.0 meV/atom

---

First-principles (GGA-PBEsol) data for a geometry-optimized TiCrO2 structure, as listed in the Alexandria database.

CIF file:
```
data_TiCrO2
_chemical_formula_sum 'Ti1 Cr1 O2'
_space_group_name_H-M_alt 'P 1'
_space_group_IT_number 1
_space_group_name_Hall 'P 1'
_cell_length_a 3.680
_cell_length_b 3.680
_cell_length_c 3.680
_cell_angle_alpha 60.00
_cell_angle_beta 60.00
_cell_angle_gamma 60.00
loop_
_atom_site_label
_atom_site_type_symbol
_atom_site_fract_x
_atom_site_fract_y
_atom_site_fract_z
Ti1 Ti 0.000 0.000 0.000
Cr1 Cr 0.500 0.500 0.500
O1 O 0.250 0.250 0.250
O2 O 0.750 0.750 0.750
```

Output
* crystal system: cubic
* ΔE to the lowest computed polymorph: 242.8 meV/atom

---

First-principles (GGA-PBEsol) data for a geometry-optimized MoP2SBr structure, as listed in the Alexandria database.

CIF file:
```
data_MoP2SBr
_chemical_formula_sum 'Mo1 P2 S1 Br1'
_space_group_name_H-M_alt 'P 1'
_space_group_IT_number 1
_space_group_name_Hall 'P 1'
_cell_length_a 4.686
_cell_length_b 4.686
_cell_length_c 4.595
_cell_angle_alpha 90.00
_cell_angle_beta 90.00
_cell_angle_gamma 90.00
loop_
_atom_site_label
_atom_site_type_symbol
_atom_site_fract_x
_atom_site_fract_y
_atom_site_fract_z
Mo1 Mo 0.000 0.000 0.000
P1 P 0.000 0.500 0.500
P2 P 0.500 0.000 0.500
S1 S 0.500 0.500 0.000
Br1 Br 0.500 0.500 0.500
```

Output
* crystal system: tetragonal
* final energy: -0.309 Ry/atom

---

First-principles (GGA-PBEsol) data for a geometry-optimized As2OsW structure, as listed in the Alexandria database.

CIF file:
```
data_As2OsW
_chemical_formula_sum 'As2 Os1 W1'
_space_group_name_H-M_alt 'P 1'
_space_group_IT_number 1
_space_group_name_Hall 'P 1'
_cell_length_a 5.050
_cell_length_b 5.050
_cell_length_c 2.896
_cell_angle_alpha 105.77
_cell_angle_beta 105.77
_cell_angle_gamma 108.50
loop_
_atom_site_label
_atom_site_type_symbol
_atom_site_fract_x
_atom_site_fract_y
_atom_site_fract_z
As1 As 0.000 0.500 0.000
As2 As 0.500 0.000 0.000
Os1 Os 0.000 0.000 0.500
W1 W 0.500 0.500 0.500
```

Output
* ΔH_f (0 K): 616 meV/atom
* crystal system: monoclinic
* ΔE to the lowest computed polymorph: 394.0 meV/atom

---

First-principles (GGA-PBEsol) data for a geometry-optimized CaMg2Pb structure, as listed in the Alexandria database.

CIF file:
```
data_CaMg2Pb
_chemical_formula_sum 'Ca1 Mg2 Pb1'
_space_group_name_H-M_alt 'P 1'
_space_group_IT_number 1
_space_group_name_Hall 'P 1'
_cell_length_a 5.313
_cell_length_b 5.313
_cell_length_c 5.313
_cell_angle_alpha 60.00
_cell_angle_beta 60.00
_cell_angle_gamma 60.00
loop_
_atom_site_label
_atom_site_type_symbol
_atom_site_fract_x
_atom_site_fract_y
_atom_site_fract_z
Ca1 Ca 0.000 0.000 0.000
Mg1 Mg 0.250 0.250 0.250
Mg2 Mg 0.750 0.750 0.750
Pb1 Pb 0.500 0.500 0.500
```

Output
* ΔH_f (0 K): -123 meV/atom
* crystal system: cubic
* ΔE to the lowest computed polymorph: 95.7 meV/atom

---

First-principles (GGA-PBEsol) data for a geometry-optimized AlCdBr2 structure, as listed in the Alexandria database.

CIF file:
```
data_AlCdBr2
_chemical_formula_sum 'Al1 Cd1 Br2'
_space_group_name_H-M_alt 'P 1'
_space_group_IT_number 1
_space_group_name_Hall 'P 1'
_cell_length_a 3.704
_cell_length_b 3.704
_cell_length_c 7.106
_cell_angle_alpha 90.00
_cell_angle_beta 90.00
_cell_angle_gamma 90.00
loop_
_atom_site_label
_atom_site_type_symbol
_atom_site_fract_x
_atom_site_fract_y
_atom_site_fract_z
Al1 Al 0.000 0.000 0.000
Cd1 Cd 0.000 0.000 0.500
Br1 Br 0.500 0.500 0.251
Br2 Br 0.500 0.500 0.749
```

Output
* crystal system: tetragonal
* ΔE to the lowest computed polymorph: 326.0 meV/atom

---

First-principles (GGA-PBEsol) data for a geometry-optimized AgH2Pt2 structure, as listed in the Alexandria database.

CIF file:
```
data_AgH2Pt2
_chemical_formula_sum 'Ag1 H2 Pt2'
_space_group_name_H-M_alt 'P 1'
_space_group_IT_number 1
_space_group_name_Hall 'P 1'
_cell_length_a 5.422
_cell_length_b 5.422
_cell_length_c 5.422
_cell_angle_alpha 144.68
_cell_angle_beta 144.68
_cell_angle_gamma 50.81
loop_
_atom_site_label
_atom_site_type_symbol
_atom_site_fract_x
_atom_site_fract_y
_atom_site_fract_z
Ag1 Ag 0.000 0.000 0.000
H1 H 0.250 0.750 0.500
H2 H 0.750 0.250 0.500
Pt1 Pt 0.346 0.346 0.000
Pt2 Pt 0.654 0.654 0.000
```

Output
* crystal system: tetragonal
* final energy: -0.344 Ry/atom

---

First-principles (GGA-PBEsol) data for a geometry-optimized LaNb2Fe2 structure, as listed in the Alexandria database.

CIF file:
```
data_LaNb2Fe2
_chemical_formula_sum 'La1 Nb2 Fe2'
_space_group_name_H-M_alt 'P 1'
_space_group_IT_number 1
_space_group_name_Hall 'P 1'
_cell_length_a 5.946
_cell_length_b 5.946
_cell_length_c 5.946
_cell_angle_alpha 137.86
_cell_angle_beta 137.86
_cell_angle_gamma 61.11
loop_
_atom_site_label
_atom_site_type_symbol
_atom_site_fract_x
_atom_site_fract_y
_atom_site_fract_z
La1 La 0.000 0.000 0.000
Nb1 Nb 0.356 0.356 0.000
Nb2 Nb 0.644 0.644 0.000
Fe1 Fe 0.250 0.750 0.500
Fe2 Fe 0.750 0.250 0.500
```

Output
* ΔH_f (0 K): 320 meV/atom
* crystal system: tetragonal

---

First-principles (GGA-PBEsol) data for a geometry-optimized CrNiO4 structure, as listed in the Alexandria database.

CIF file:
```
data_CrNiO4
_chemical_formula_sum 'Cr2 Ni2 O8'
_space_group_name_H-M_alt 'P 1'
_space_group_IT_number 1
_space_group_name_Hall 'P 1'
_cell_length_a 4.852
_cell_length_b 4.852
_cell_length_c 6.031
_cell_angle_alpha 90.00
_cell_angle_beta 90.00
_cell_angle_gamma 111.96
loop_
_atom_site_label
_atom_site_type_symbol
_atom_site_fract_x
_atom_site_fract_y
_atom_site_fract_z
Cr1 Cr 0.142 0.858 0.750
Cr2 Cr 0.858 0.142 0.250
Ni1 Ni 0.500 0.500 0.000
Ni2 Ni 0.500 0.500 0.500
O1 O 0.237 0.282 0.250
O2 O 0.263 0.737 0.533
O3 O 0.263 0.737 0.967
O4 O 0.282 0.237 0.750
O5 O 0.718 0.763 0.250
O6 O 0.737 0.263 0.033
O7 O 0.737 0.263 0.467
O8 O 0.763 0.718 0.750
```

Output
* crystal system: orthorhombic
* final energy: -0.561 Ry/atom

---

First-principles (GGA-PBEsol) data for a geometry-optimized KRbBi3 structure, as listed in the Alexandria database.

CIF file:
```
data_KRbBi3
_chemical_formula_sum 'K1 Rb1 Bi3'
_space_group_name_H-M_alt 'P 1'
_space_group_IT_number 1
_space_group_name_Hall 'P 1'
_cell_length_a 6.004
_cell_length_b 6.004
_cell_length_c 6.004
_cell_angle_alpha 90.00
_cell_angle_beta 90.00
_cell_angle_gamma 90.00
loop_
_atom_site_label
_atom_site_type_symbol
_atom_site_fract_x
_atom_site_fract_y
_atom_site_fract_z
K1 K 0.000 0.000 0.000
Rb1 Rb 0.500 0.500 0.500
Bi1 Bi 0.000 0.000 0.500
Bi2 Bi 0.000 0.500 0.000
Bi3 Bi 0.500 0.000 0.000
```

Output
* ΔH_f (0 K): 572 meV/atom
* crystal system: cubic
* ΔE to the lowest computed polymorph: 0.0 meV/atom

---

First-principles (GGA-PBEsol) data for a geometry-optimized RbTl2Ga2 structure, as listed in the Alexandria database.

CIF file:
```
data_RbTl2Ga2
_chemical_formula_sum 'Rb1 Tl2 Ga2'
_space_group_name_H-M_alt 'P 1'
_space_group_IT_number 1
_space_group_name_Hall 'P 1'
_cell_length_a 6.678
_cell_length_b 6.678
_cell_length_c 6.678
_cell_angle_alpha 136.89
_cell_angle_beta 136.89
_cell_angle_gamma 62.61
loop_
_atom_site_label
_atom_site_type_symbol
_atom_site_fract_x
_atom_site_fract_y
_atom_site_fract_z
Rb1 Rb 0.000 0.000 0.000
Tl1 Tl 0.250 0.750 0.500
Tl2 Tl 0.750 0.250 0.500
Ga1 Ga 0.388 0.388 0.000
Ga2 Ga 0.612 0.612 0.000
```

Output
* ΔH_f (0 K): -67 meV/atom
* crystal system: tetragonal

---

First-principles (GGA-PBEsol) data for a geometry-optimized Rb2SiSnBi structure, as listed in the Alexandria database.

CIF file:
```
data_Rb2SiSnBi
_chemical_formula_sum 'Rb2 Si1 Sn1 Bi1'
_space_group_name_H-M_alt 'P 1'
_space_group_IT_number 1
_space_group_name_Hall 'P 1'
_cell_length_a 6.666
_cell_length_b 6.666
_cell_length_c 4.864
_cell_angle_alpha 90.00
_cell_angle_beta 90.00
_cell_angle_gamma 90.00
loop_
_atom_site_label
_atom_site_type_symbol
_atom_site_fract_x
_atom_site_fract_y
_atom_site_fract_z
Rb1 Rb 0.000 0.500 0.000
Rb2 Rb 0.500 0.000 0.000
Si1 Si 0.000 0.000 0.000
Sn1 Sn 0.000 0.000 0.500
Bi1 Bi 0.500 0.500 0.500
```

Output
* crystal system: tetragonal
* final energy: -0.209 Ry/atom

---

First-principles (GGA-PBEsol) data for a geometry-optimized Co2Mo structure, as listed in the Alexandria database.

CIF file:
```
data_Co2Mo
_chemical_formula_sum 'Co4 Mo2'
_space_group_name_H-M_alt 'P 1'
_space_group_IT_number 1
_space_group_name_Hall 'P 1'
_cell_length_a 4.668
_cell_length_b 4.668
_cell_length_c 4.668
_cell_angle_alpha 105.69
_cell_angle_beta 105.69
_cell_angle_gamma 117.34
loop_
_atom_site_label
_atom_site_type_symbol
_atom_site_fract_x
_atom_site_fract_y
_atom_site_fract_z
Co1 Co 0.136 0.636 0.772
Co2 Co 0.364 0.136 0.500
Co3 Co 0.636 0.864 0.500
Co4 Co 0.864 0.364 0.228
Mo1 Mo 0.250 0.250 0.000
Mo2 Mo 0.750 0.750 0.000
```

Output
* ΔH_f (0 K): 576 meV/atom
* crystal system: tetragonal

---

First-principles (GGA-PBEsol) data for a geometry-optimized Li2CdCo structure, as listed in the Alexandria database.

CIF file:
```
data_Li2CdCo
_chemical_formula_sum 'Li2 Cd1 Co1'
_space_group_name_H-M_alt 'P 1'
_space_group_IT_number 1
_space_group_name_Hall 'P 1'
_cell_length_a 2.700
_cell_length_b 4.484
_cell_length_c 4.823
_cell_angle_alpha 90.00
_cell_angle_beta 90.00
_cell_angle_gamma 90.00
loop_
_atom_site_label
_atom_site_type_symbol
_atom_site_fract_x
_atom_site_fract_y
_atom_site_fract_z
Li1 Li 0.000 0.000 0.000
Li2 Li 0.500 0.500 0.167
Cd1 Cd 0.500 0.000 0.524
Co1 Co 0.000 0.500 0.667
```

Output
* ΔH_f (0 K): 144 meV/atom
* crystal system: orthorhombic

---

First-principles (GGA-PBEsol) data for a geometry-optimized La2PbS4 structure, as listed in the Alexandria database.

CIF file:
```
data_La2PbS4
_chemical_formula_sum 'La4 Pb2 S8'
_space_group_name_H-M_alt 'P 1'
_space_group_IT_number 1
_space_group_name_Hall 'P 1'
_cell_length_a 7.503
_cell_length_b 7.503
_cell_length_c 7.503
_cell_angle_alpha 109.34
_cell_angle_beta 109.34
_cell_angle_gamma 109.73
loop_
_atom_site_label
_atom_site_type_symbol
_atom_site_fract_x
_atom_site_fract_y
_atom_site_fract_z
La1 La 0.010 0.625 0.885
La2 La 0.375 0.260 0.385
La3 La 0.740 0.125 0.115
La4 La 0.875 0.990 0.615
Pb1 Pb 0.250 0.750 0.500
Pb2 Pb 0.500 0.500 0.000
S1 S 0.115 0.368 0.595
S2 S 0.118 0.365 0.095
S3 S 0.271 0.023 0.905
S4 S 0.479 0.885 0.253
S5 S 0.632 0.227 0.747
S6 S 0.635 0.729 0.753
S7 S 0.773 0.521 0.405
S8 S 0.977 0.882 0.247
```

Output
* crystal system: tetragonal
* final energy: -0.467 Ry/atom

---

First-principles (GGA-PBEsol) data for a geometry-optimized Hf2TaGe2 structure, as listed in the Alexandria database.

CIF file:
```
data_Hf2TaGe2
_chemical_formula_sum 'Hf4 Ta2 Ge4'
_space_group_name_H-M_alt 'P 1'
_space_group_IT_number 1
_space_group_name_Hall 'P 1'
_cell_length_a 6.880
_cell_length_b 6.880
_cell_length_c 3.693
_cell_angle_alpha 90.00
_cell_angle_beta 90.00
_cell_angle_gamma 90.00
loop_
_atom_site_label
_atom_site_type_symbol
_atom_site_fract_x
_atom_site_fract_y
_atom_site_fract_z
Hf1 Hf 0.173 0.327 0.000
Hf2 Hf 0.327 0.827 0.000
Hf3 Hf 0.673 0.173 0.000
Hf4 Hf 0.827 0.673 0.000
Ta1 Ta 0.000 0.000 0.500
Ta2 Ta 0.500 0.500 0.500
Ge1 Ge 0.131 0.631 0.500
Ge2 Ge 0.369 0.131 0.500
Ge3 Ge 0.631 0.869 0.500
Ge4 Ge 0.869 0.369 0.500
```

Output
* ΔH_f (0 K): -712 meV/atom
* crystal system: tetragonal

---

First-principles (GGA-PBEsol) data for a geometry-optimized Ca2SbRh structure, as listed in the Alexandria database.

CIF file:
```
data_Ca2SbRh
_chemical_formula_sum 'Ca2 Sb1 Rh1'
_space_group_name_H-M_alt 'P 1'
_space_group_IT_number 1
_space_group_name_Hall 'P 1'
_cell_length_a 4.881
_cell_length_b 4.881
_cell_length_c 4.881
_cell_angle_alpha 60.00
_cell_angle_beta 60.00
_cell_angle_gamma 60.00
loop_
_atom_site_label
_atom_site_type_symbol
_atom_site_fract_x
_atom_site_fract_y
_atom_site_fract_z
Ca1 Ca 0.000 0.000 0.000
Ca2 Ca 0.250 0.250 0.250
Sb1 Sb 0.500 0.500 0.500
Rh1 Rh 0.750 0.750 0.750
```

Output
* crystal system: cubic
* final energy: -0.353 Ry/atom

---

Calculated volume for the records above, in order: 91.9; 86.2; 186.1; 119.1; 35.2; 100.9; 62.0; 106.1; 97.5; 53.0; 93.6; 131.7; 216.4; 137.4; 216.1; 77.2; 58.4; 325.1; 174.8; 82.2 Å³/cell
Magnetization for the records above, in order: 0.868; 0.000; 0.000; 0.000; 0.516; 0.452; 0.000; 0.000; 0.000; 0.000; 0.070; 0.324; 0.000; 0.000; 0.266; 0.481; 0.298; 0.000; 0.000; 0.000 μB/atom